{"formula": "Pm2Y6Th", "functional": "PBE", "state": "optimized geometry", "n_ef_per_ev_fu": 17.54, "total_magnetization_mub_per_cell": 0.1, "e_form_ev_per_atom": 0.064, "lattice": [[3.609, 0.000, 0.000], [-1.804, 3.125, 0.000], [0.000, 0.000, 26.524]], "species": ["Y", "Y", "Y", "Y", "Pm", "Pm", "Y", "Y", "Th"], "fractional_positions": [[0.667, 0.333, 0.109], [0.667, 0.333, 0.891], [0.333, 0.667, 0.783], [0.333, 0.667, 0.437], [0.667, 0.333, 0.671], [0.667, 0.333, 0.329], [0.333, 0.667, 0.563], [0.333, 0.667, 0.217], [0.333, 0.667, 0.000]]}

{"formula": "Cd3In5I12", "functional": "PBE", "state": "optimized geometry", "n_ef_per_ev_fu": 16.43, "total_magnetization_mub_per_cell": 3.1, "raw_formation_energy_mev_per_atom": -304, "lattice": [[17.167, 0.000, 0.000], [-5.722, 16.185, 0.000], [-5.722, -8.092, 14.016]], "species": ["I", "In", "In", "In", "I", "I", "I", "I", "I", "In", "Cd", "Cd", "Cd", "I", "In", "I", "In", "I", "I", "I", "I", "In", "In", "I", "I", "I", "In", "I", "I", "In", "Cd", "Cd", "In", "I", "I", "I", "I", "I", "I", "Cd", "Cd", "I", "I", "I", "Cd", "I", "I", "I", "I", "I", "I", "I", "In", "I", "I", "I", "In", "Cd", "I", "Cd", "In", "I", "In", "In", "Cd", "I", "In", "I", "I", "I", "Cd", "In", "I", "I", "In", "I", "I", "In", "I", "I"], "fractional_positions": [[0.525, 0.225, 0.119], [0.250, 0.875, 0.125], [0.000, 0.500, 0.000], [0.000, 0.000, 0.000], [0.394, 0.119, 0.593], [0.907, 0.800, 0.525], [0.881, 0.275, 0.475], [0.800, 0.894, 0.275], [0.606, 0.725, 0.700], [0.875, 0.250, 0.625], [0.875, 0.750, 0.125], [0.250, 0.625, 0.875], [0.375, 0.625, 0.250], [0.475, 0.775, 0.881], [0.875, 0.625, 0.750], [0.119, 0.394, 0.093], [0.500, 0.500, 0.000], [0.093, 0.894, 0.119], [0.407, 0.381, 0.606], [0.800, 0.907, 0.025], [0.894, 0.093, 0.619], [0.250, 0.375, 0.625], [0.750, 0.125, 0.875], [0.225, 0.700, 0.106], [0.593, 0.975, 0.700], [0.619, 0.593, 0.894], [0.500, 0.000, 0.000], [0.119, 0.725, 0.525], [0.381, 0.975, 0.775], [0.375, 0.125, 0.750], [0.125, 0.875, 0.750], [0.250, 0.125, 0.375], [0.000, 0.000, 0.500], [0.300, 0.775, 0.394], [0.725, 0.119, 0.025], [0.200, 0.106, 0.725], [0.975, 0.381, 0.275], [0.894, 0.800, 0.775], [0.300, 0.525, 0.407], [0.750, 0.875, 0.625], [0.625, 0.375, 0.750], [0.225, 0.525, 0.619], [0.475, 0.700, 0.093], [0.381, 0.407, 0.106], [0.125, 0.250, 0.875], [0.606, 0.881, 0.407], [0.025, 0.619, 0.725], [0.619, 0.025, 0.225], [0.275, 0.394, 0.800], [0.025, 0.407, 0.800], [0.106, 0.907, 0.381], [0.725, 0.606, 0.200], [0.625, 0.750, 0.875], [0.700, 0.475, 0.593], [0.593, 0.619, 0.394], [0.775, 0.300, 0.894], [0.375, 0.250, 0.125], [0.375, 0.750, 0.625], [0.700, 0.225, 0.606], [0.875, 0.125, 0.250], [0.500, 0.500, 0.500], [0.525, 0.300, 0.907], [0.125, 0.375, 0.250], [0.500, 0.000, 0.500], [0.625, 0.250, 0.375], [0.093, 0.200, 0.475], [0.625, 0.875, 0.250], [0.975, 0.593, 0.200], [0.394, 0.275, 0.300], [0.407, 0.025, 0.300], [0.750, 0.375, 0.125], [0.750, 0.625, 0.375], [0.106, 0.200, 0.225], [0.200, 0.093, 0.975], [0.125, 0.750, 0.375], [0.881, 0.606, 0.907], [0.907, 0.106, 0.881], [0.000, 0.500, 0.500], [0.275, 0.881, 0.975], [0.775, 0.475, 0.381]]}

{"formula": "Li3FeBr", "functional": "PBE", "state": "optimized geometry", "n_ef_per_ev_fu": 4.51, "total_magnetization_mub_per_cell": 2.9, "raw_formation_energy_mev_per_atom": 161, "polymorph_energy_mev_per_atom": 0, "lattice": [[-0.152, 4.825, -0.072], [-4.689, -0.131, 1.143], [1.140, 0.106, 4.690]], "species": ["Fe", "Br", "Li", "Li", "Li"], "fractional_positions": [[0.500, 0.500, 0.500], [0.000, 0.000, 0.000], [0.000, 0.500, 0.000], [0.000, 0.000, 0.500], [0.500, 0.000, 0.000]]}

{"formula": "Tb2ThPaSb4", "functional": "PBE", "state": "optimized geometry", "n_ef_per_ev_fu": 8.15, "total_magnetization_mub_per_cell": 1.0, "raw_formation_energy_mev_per_atom": -904, "lattice": [[-3.086, -3.098, -0.663], [5.492, -5.224, -1.153], [-1.805, 0.208, 7.428]], "species": ["Sb", "Pa", "Tb", "Sb", "Th", "Tb", "Sb", "Sb"], "fractional_positions": [[0.500, 0.754, 0.747], [0.000, 0.000, 0.000], [0.500, 0.000, 0.500], [0.500, 0.246, 0.253], [0.500, 0.500, 0.000], [0.000, 0.500, 0.500], [0.000, 0.244, 0.745], [0.000, 0.756, 0.255]]}

Copy entry 1 word for word.
{"formula": "Pm2Y6Th", "functional": "PBE", "state": "optimized geometry", "n_ef_per_ev_fu": 17.54, "total_magnetization_mub_per_cell": 0.1, "e_form_ev_per_atom": 0.064, "lattice": [[3.609, 0.000, 0.000], [-1.804, 3.125, 0.000], [0.000, 0.000, 26.524]], "species": ["Y", "Y", "Y", "Y", "Pm", "Pm", "Y", "Y", "Th"], "fractional_positions": [[0.667, 0.333, 0.109], [0.667, 0.333, 0.891], [0.333, 0.667, 0.783], [0.333, 0.667, 0.437], [0.667, 0.333, 0.671], [0.667, 0.333, 0.329], [0.333, 0.667, 0.563], [0.333, 0.667, 0.217], [0.333, 0.667, 0.000]]}